# 1
This record from Alexandria describes a geometry-optimized TiCuP2S structure. The functional is PBE.

extended XYZ file:
```
5
Lattice="4.5638 0.0000 0.0000 0.0000 4.5638 0.0000 0.0000 0.0000 4.3943" Properties=species:S:1:pos:R:3 pbc="T T T"
Ti 0.0000 0.0000 0.0000
Cu 2.2819 2.2819 0.0000
P 0.0000 2.2819 2.1972
P 2.2819 0.0000 2.1972
S 0.0000 0.0000 2.1972
```

Values from the calculation:
Total magnetic moment (μB/atom): 0.00
Energy relative to the elements, uncorrected (eV per atom): 0.6960
Distance to the lowest polymorph of the same formula (meV/atom): 315
Calculated volume (Å³ per cell): 91.5
E (eV per atom): -4.692


# 2
This record from Alexandria describes a geometry-optimized TiCuP2S structure. The functional is PBE.

extended XYZ file:
```
5
Lattice="4.7041 0.0000 0.0000 0.0000 4.7041 0.0000 0.0000 0.0000 4.6135" Properties=species:S:1:pos:R:3 pbc="T T T"
Ti 0.0000 0.0000 0.0000
Cu 2.3520 2.3520 2.3068
P 0.0000 2.3520 0.0000
P 2.3520 0.0000 0.0000
S 0.0000 0.0000 2.3068
```

Values from the calculation:
Total magnetic moment (μB/atom): 0.00
Energy relative to the elements, uncorrected (eV per atom): 0.3813
Distance to the lowest polymorph of the same formula (meV/atom): 0
Calculated volume (Å³ per cell): 102.1
E (eV per atom): -5.006


# 3
This record from Alexandria describes a geometry-optimized TlCuP2S structure. The functional is PBE.

extended XYZ file:
```
5
Lattice="4.5734 0.0000 0.0000 0.0000 4.5734 0.0000 0.0000 0.0000 4.9134" Properties=species:S:1:pos:R:3 pbc="T T T"
Tl 0.0000 0.0000 0.0000
Cu 2.2867 2.2867 2.4567
P 0.0000 2.2867 2.4567
P 2.2867 0.0000 2.4567
S 2.2867 2.2867 0.0000
```

Values from the calculation:
Total magnetic moment (μB/atom): 0.17
Energy relative to the elements, uncorrected (eV per atom): 0.6402
Distance to the lowest polymorph of the same formula (meV/atom): 0
Calculated volume (Å³ per cell): 102.8
E (eV per atom): -3.642


# 4
This record from Alexandria describes a geometry-optimized TlCuPS3 structure. The functional is PBE.

extended XYZ file:
```
24
Lattice="8.0376 0.0000 0.0000 0.0000 8.5011 0.0000 -7.6595 0.0000 8.5336" Properties=species:S:1:pos:R:3 pbc="T T T"
Tl -0.6777 0.2836 2.1610
Tl -4.5075 3.9669 6.4278
Tl 4.8856 4.5342 2.1059
Tl 1.0558 8.2175 6.3727
Cu -2.3964 1.4637 6.3235
Cu 1.4334 2.7868 2.0566
Cu -1.0553 5.7143 6.4770
Cu 2.7745 7.0374 2.2102
P 0.1930 5.1879 3.6380
P -3.6368 7.5638 7.9048
P 4.0149 0.9373 0.6288
P 0.1851 3.3132 4.8956
S 0.0152 4.5287 1.7226
S -3.8145 8.2230 5.9894
S 2.2350 1.9004 0.1953
S -1.5948 2.3501 4.4621
S -1.4199 6.2699 4.3180
S 2.4099 6.4818 0.0511
S -2.0318 2.0193 8.4825
S 1.7980 2.2313 4.2157
S 1.9729 6.1510 4.0715
S -1.8569 6.6007 8.3383
S 4.1926 0.2781 2.5442
S 0.3629 3.9725 6.8110
```

Values from the calculation:
Total magnetic moment (μB/atom): 0.00
Energy relative to the elements, uncorrected (eV per atom): -0.3505
Calculated volume (Å³ per cell): 583.1
E (eV per atom): -4.393


# 5
This record from Alexandria describes a geometry-optimized Tl2CuPS4 structure. The functional is PBE.

extended XYZ file:
```
16
Lattice="0.0000 6.1031 12.1186 2.9606 0.0000 12.1186 2.9606 6.1031 0.0000" Properties=species:S:1:pos:R:3 pbc="T T T"
Tl 2.2204 4.5773 1.6069
Tl 3.7007 7.6289 7.6661
Tl 2.2204 4.5773 16.5710
Tl 3.7007 7.6289 22.6303
Cu 0.7401 1.5258 3.0296
Cu 5.1810 10.6804 21.2075
P 2.2204 4.5773 9.0889
P 3.7007 7.6289 15.1482
S 3.4676 3.4031 7.9363
S 3.4676 5.7516 10.2416
S 4.9479 6.4546 16.3009
S 4.9479 8.8032 13.9956
S 0.9733 3.4031 10.2416
S 0.9733 5.7516 7.9363
S 2.4536 6.4546 13.9956
S 2.4536 8.8032 16.3009
```

Values from the calculation:
Total magnetic moment (μB/atom): 0.00
Energy relative to the elements, uncorrected (eV per atom): -0.3105
Calculated volume (Å³ per cell): 437.9
E (eV per atom): -4.154


# 6
This record from Alexandria describes a geometry-optimized TlCuPS4 structure. The functional is PBE.

extended XYZ file:
```
14
Lattice="6.0224 0.0000 0.0000 0.0000 6.4897 0.0000 -2.1804 0.0000 8.5415" Properties=species:S:1:pos:R:3 pbc="T T T"
Tl 1.2602 1.6224 0.4352
Tl 2.5818 4.8673 8.1063
Cu -0.2858 1.6224 4.3634
Cu 4.1278 4.8673 4.1781
P 0.6730 4.8673 2.6416
P 3.1690 1.6224 5.8998
S -1.4134 0.0825 5.8560
S -1.4134 3.1624 5.8560
S 1.6688 4.8673 0.8880
S 1.8059 4.8673 4.3266
S 2.0361 1.6224 4.2149
S 2.1732 1.6224 7.6535
S 5.2554 3.3273 2.6855
S 5.2554 6.4073 2.6855
```

Values from the calculation:
Total magnetic moment (μB/atom): 0.02
Energy relative to the elements, uncorrected (eV per atom): -0.2100
Calculated volume (Å³ per cell): 333.8
E (eV per atom): -4.265


# 7
This record from Alexandria describes a geometry-optimized TlCuP2S structure. The functional is PBE.

extended XYZ file:
```
5
Lattice="5.1543 0.0000 0.0000 0.0000 5.1543 0.0000 0.0000 0.0000 5.1681" Properties=species:S:1:pos:R:3 pbc="T T T"
Tl 0.0000 0.0000 0.0000
Cu 2.5771 2.5771 2.5841
P 0.0000 2.5771 0.0000
P 2.5771 0.0000 0.0000
S 0.0000 0.0000 2.5841
```

Values from the calculation:
Total magnetic moment (μB/atom): 0.41
Energy relative to the elements, uncorrected (eV per atom): 1.5606
Distance to the lowest polymorph of the same formula (meV/atom): 920
Calculated volume (Å³ per cell): 137.3
E (eV per atom): -2.721


# 8
This record from Alexandria describes a geometry-optimized TlCu2PS structure. The functional is PBE.

extended XYZ file:
```
5
Lattice="4.3110 0.0000 0.0000 0.0000 4.3110 0.0000 0.0000 0.0000 5.7003" Properties=species:S:1:pos:R:3 pbc="T T T"
Tl 0.0000 0.0000 0.0000
Cu 0.0000 2.1555 2.8501
Cu 2.1555 0.0000 2.8501
P 0.0000 0.0000 2.8501
S 2.1555 2.1555 0.0000
```

Values from the calculation:
Total magnetic moment (μB/atom): 0.00
Energy relative to the elements, uncorrected (eV per atom): 0.2754
Calculated volume (Å³ per cell): 105.9
E (eV per atom): -3.744


# 9
This record from Alexandria describes a geometry-optimized TlCu2PS4 structure. The functional is PBE.

extended XYZ file:
```
16
Lattice="5.9848 0.0000 0.0000 0.0000 7.5516 0.0000 0.0000 0.0000 8.3017" Properties=species:S:1:pos:R:3 pbc="T T T"
Tl 0.0000 0.0000 0.0000
Tl 2.9924 3.7758 4.1508
Cu 0.0000 3.7758 1.3180
Cu 0.0000 3.7758 6.9836
Cu 2.9924 0.0000 2.8328
Cu 2.9924 0.0000 5.4688
P 0.0000 0.0000 4.1508
P 2.9924 3.7758 0.0000
S 1.1851 1.2186 2.9457
S 1.1851 6.3330 5.3560
S 1.8073 2.5572 7.0965
S 1.8073 4.9944 1.2052
S 4.1775 2.5572 1.2052
S 4.1775 4.9944 7.0965
S 4.7997 1.2186 5.3560
S 4.7997 6.3330 2.9457
```

Values from the calculation:
Total magnetic moment (μB/atom): 0.00
Energy relative to the elements, uncorrected (eV per atom): -0.2598
Calculated volume (Å³ per cell): 375.2
E (eV per atom): -4.320


# 10
This record from Alexandria describes a geometry-optimized Tm8CuP3S4 structure. The functional is PBE.

extended XYZ file:
```
16
Lattice="3.8882 2.2449 6.4118 -3.8882 2.2449 6.4118 0.0000 -4.4898 6.4118" Properties=species:S:1:pos:R:3 pbc="T T T"
Tm 0.0000 0.0000 4.7482
Tm -1.9582 -1.1306 11.2022
Tm 0.0000 -2.2612 8.0334
Tm -1.9582 1.1306 8.0334
Tm 1.9582 -1.1306 11.2022
Tm 0.0000 2.2612 11.2022
Tm 1.9582 1.1306 8.0334
Tm 0.0000 0.0000 14.4873
Cu 0.0000 0.0000 9.6178
P -3.8882 0.0000 9.6178
P -1.9441 1.1224 3.2059
P 1.9441 1.1224 3.2059
S 0.0000 0.0000 0.0000
S -1.9441 -1.1224 6.4118
S -1.9441 1.1224 12.8237
S 0.0000 2.2449 6.4118
```

Values from the calculation:
Total magnetic moment (μB/atom): 0.00
Energy relative to the elements, uncorrected (eV per atom): -1.6191
Calculated volume (Å³ per cell): 335.8
E (eV per atom): -6.157


# 11
This record from Alexandria describes a geometry-optimized VCuPS2 structure. The functional is PBE.

extended XYZ file:
```
5
Lattice="4.4987 0.0000 0.0000 0.0000 4.4987 0.0000 0.0000 0.0000 4.6205" Properties=species:S:1:pos:R:3 pbc="T T T"
V 0.0000 0.0000 0.0000
Cu 2.2493 2.2493 2.3102
P 0.0000 0.0000 2.3102
S 0.0000 2.2493 0.0000
S 2.2493 0.0000 0.0000
```

Values from the calculation:
Total magnetic moment (μB/atom): 0.00
Energy relative to the elements, uncorrected (eV per atom): 0.3263
Distance to the lowest polymorph of the same formula (meV/atom): 0
Calculated volume (Å³ per cell): 93.5
E (eV per atom): -5.050


# 12
This record from Alexandria describes a geometry-optimized VCuPS2 structure. The functional is PBE.

extended XYZ file:
```
5
Lattice="4.5517 0.0000 0.0000 0.0000 4.5517 0.0000 0.0000 0.0000 4.3679" Properties=species:S:1:pos:R:3 pbc="T T T"
V 0.0000 0.0000 0.0000
Cu 2.2759 2.2759 2.1839
P 2.2759 2.2759 0.0000
S 0.0000 2.2759 2.1839
S 2.2759 0.0000 2.1839
```

Values from the calculation:
Total magnetic moment (μB/atom): 0.47
Energy relative to the elements, uncorrected (eV per atom): 0.6918
Distance to the lowest polymorph of the same formula (meV/atom): 366
Calculated volume (Å³ per cell): 90.5
E (eV per atom): -4.684